Record 1
The following is a DFT calculation (PBE) of Cu2SbH2 after structural relaxation.

a b c (Å): 3.1906 3.1906 6.9879
angles (deg): 76.80 76.80 90.00
With the nearest neighbours (Å) after each atom.
Atoms (fractional coordinates):
Sb1 0.0000 0.0000 0.0000  2 Cu 2.61
Cu1 0.1970 0.1970 0.6060  4 H 1.74
H1 0.2500 0.7500 0.5000  4 Cu 1.74
Cu2 0.8030 0.8030 0.3940  4 H 1.74
H2 0.7500 0.2500 0.5000  4 Cu 1.74

The calculated total energy comes out at -3.607 eV/atom.

=====

Record 2
The following is a DFT calculation (PBE) of ScCu2SbH after structural relaxation.

a b c (Å): 4.0980 4.0980 4.1815
angles (deg): 90.00 90.00 90.00
With the nearest neighbours (Å) after each atom.
Atoms (fractional coordinates):
Sc1 0.0000 0.0000 0.5000  2 H 2.09
Sb1 0.5000 0.5000 0.5000  4 Sc 2.90, 8 Cu 2.93
Cu1 0.0000 0.5000 0.0000  2 H 2.05
H1 0.0000 0.0000 0.0000  4 Cu 2.05, 2 Sc 2.09
Cu2 0.5000 0.0000 0.0000  2 H 2.05

The calculated total energy comes out at -4.672 eV/atom.

=====

| no. | total magnetic moment (μB per formula unit) |
| --- | --- |
| 1 | 0.00 |
| 2 | 0.00 |